# 1
Below is SrCeP2Rh5 after structural relaxation, with properties calculated at the PBE level.

Computed properties:
- ΔE_f: -909 meV/atom

Lattice parameters (Å, degrees): 4.1338 4.1338 9.2339 90.00 90.00 90.00
With the nearest neighbours (Å) after each atom.
Positions (direct):
Sr (0.0000, 0.0000, 0.0000)  8 Rh 3.26, 8 P 3.29
Ce (0.0000, 0.0000, 0.5000)  12 Rh 2.92-2.95
P (0.5000, 0.5000, 0.1641)  4 Rh 2.30
P (0.5000, 0.5000, 0.8359)  4 Rh 2.30
Rh (0.0000, 0.5000, 0.2727)  2 P 2.30
Rh (0.0000, 0.5000, 0.7273)  2 P 2.30
Rh (0.5000, 0.0000, 0.2727)  2 P 2.30
Rh (0.5000, 0.0000, 0.7273)  2 P 2.30
Rh (0.5000, 0.5000, 0.5000)  4 Ce 2.92, 8 Rh 2.95, 2 P 3.10

***

# 2
Below is Dy4GeTe2P after structural relaxation, with properties calculated at the PBE level.

Computed properties:
- Raw total energy: -45.75 eV for the cell shown

Lattice parameters (Å, degrees): 7.2442 4.1831 7.4478 90.00 108.87 90.00
With the nearest neighbours (Å) after each atom.
Positions (direct):
Dy (0.2363, 0.0000, 0.2145)  2 P 2.84, 1 Ge 2.86, 3 Te 3.13-3.15
Dy (0.2591, 0.5000, 0.7819)  1 P 2.85, 2 Ge 2.87, 3 Te 3.12-3.13
Dy (0.7409, 0.5000, 0.2181)  1 P 2.85, 2 Ge 2.87, 3 Te 3.12-3.13
Dy (0.7637, 0.0000, 0.7855)  2 P 2.84, 1 Ge 2.86, 3 Te 3.13-3.15
Ge (0.5000, 0.0000, 0.0000)  6 Dy 2.86-2.87
Te (0.0000, 0.0000, 0.5000)  6 Dy 3.12-3.13
Te (0.5000, 0.5000, 0.5000)  6 Dy 3.13-3.15
P (0.0000, 0.5000, 0.0000)  6 Dy 2.84-2.85

***

# 3
Below is NaCaCu2F8 after structural relaxation, with properties calculated at the PBE level.

Computed properties:
- Raw total energy: -53.30 eV for the cell shown

Lattice parameters (Å, degrees): 6.3785 6.3785 6.3785 128.42 128.42 75.95
With the nearest neighbours (Å) after each atom.
Positions (direct):
Na (0.0000, 0.0000, 0.0000)  8 F 2.41-2.60
Ca (0.2500, 0.7500, 0.5000)  8 F 2.30-2.55
Cu (0.5000, 0.5000, 0.0000)  4 F 1.83
Cu (0.7500, 0.2500, 0.5000)  4 F 1.86
F (0.0202, 0.3613, 0.9410)  1 Cu 1.86
F (0.2265, 0.4133, 0.5801)  1 Cu 1.83
F (0.3536, 0.7735, 0.1868)  1 Cu 1.83
F (0.4203, 0.0792, 0.0590)  1 Cu 1.86
F (0.5867, 0.1668, 0.8132)  1 Cu 1.83
F (0.6387, 0.5797, 0.6589)  1 Cu 1.86
F (0.8332, 0.6464, 0.4199)  1 Cu 1.83
F (0.9208, 0.9798, 0.3411)  1 Cu 1.86

***

# 4
Below is LiPtRh3 after structural relaxation, with properties calculated at the PBE level.

Computed properties:
- ΔE_f: 637 meV/atom
- Excess energy over the best structure of this formula in the dataset: 0 meV per atom

Lattice parameters (Å, degrees): 4.1116 4.1116 4.1116 90.00 90.00 90.00
With the nearest neighbours (Å) after each atom.
Positions (direct):
Li (0.0000, 0.0000, 0.0000)  6 Rh 2.06
Pt (0.5000, 0.5000, 0.5000)  12 Rh 2.91
Rh (0.0000, 0.0000, 0.5000)  2 Li 2.06
Rh (0.0000, 0.5000, 0.0000)  2 Li 2.06
Rh (0.5000, 0.0000, 0.0000)  2 Li 2.06

***

# 5
Below is LiLa4Sm3Te8 after structural relaxation, with properties calculated at the PBE level.

Computed properties:
- Raw total energy: -84.43 eV for the cell shown

Lattice parameters (Å, degrees): 8.9869 8.9869 8.9869 60.21 60.21 60.21
With the nearest neighbours (Å) after each atom.
Positions (direct):
Li (0.0000, 0.0000, 0.0000)  6 Te 3.07
La (0.0000, 0.0000, 0.5000)  6 Te 3.22
La (0.0000, 0.5000, 0.0000)  6 Te 3.22
La (0.5000, 0.0000, 0.0000)  6 Te 3.22
La (0.5000, 0.5000, 0.5000)  6 Te 3.30
Sm (0.0000, 0.5000, 0.5000)  6 Te 3.15
Sm (0.5000, 0.0000, 0.5000)  6 Te 3.15
Sm (0.5000, 0.5000, 0.0000)  6 Te 3.15
Te (0.2410, 0.2410, 0.7529)  1 Li 3.07, 2 Sm 3.15, 3 La 3.22-3.30
Te (0.2410, 0.7529, 0.2410)  1 Li 3.07, 2 Sm 3.15, 3 La 3.22-3.30
Te (0.2471, 0.7590, 0.7590)  1 Li 3.07, 2 Sm 3.15, 3 La 3.22-3.30
Te (0.2529, 0.2529, 0.2529)  3 Sm 3.15, 3 La 3.22
Te (0.7471, 0.7471, 0.7471)  3 Sm 3.15, 3 La 3.22
Te (0.7529, 0.2410, 0.2410)  1 Li 3.07, 2 Sm 3.15, 3 La 3.22-3.30
Te (0.7590, 0.2471, 0.7590)  1 Li 3.07, 2 Sm 3.15, 3 La 3.22-3.30
Te (0.7590, 0.7590, 0.2471)  1 Li 3.07, 2 Sm 3.15, 3 La 3.22-3.30

***

# 6
Below is TlGaS2 after structural relaxation, with properties calculated at the PBE level.

Computed properties:
- Raw total energy: -13.30 eV for the cell shown

Lattice parameters (Å, degrees): 4.8842 4.8842 4.8842 60.00 60.00 60.00
With the nearest neighbours (Å) after each atom.
Positions (direct):
Tl (0.0000, 0.0000, 0.0000)  8 S 2.99
Ga (0.5000, 0.5000, 0.5000)  8 S 2.99
S (0.2500, 0.2500, 0.2500)  4 Tl 2.99, 4 Ga 2.99
S (0.7500, 0.7500, 0.7500)  4 Tl 2.99, 4 Ga 2.99

***

# 7
Below is ErPaFe after structural relaxation, with properties calculated at the PBE level.

Computed properties:
- ΔE_f: -51 meV/atom
- Excess energy over the best structure of this formula in the dataset: 86 meV per atom

Lattice parameters (Å, degrees): 5.9965 5.9965 5.9965 147.34 147.34 46.86
With the nearest neighbours (Å) after each atom.
Positions (direct):
Er (0.0000, 0.0000, 0.0000)  5 Fe 3.19-3.38, 5 Pa 3.22-3.30, 4 Er 3.37
Pa (0.2924, 0.2924, 0.0000)  4 Fe 2.62
Fe (0.6929, 0.6929, 0.0000)  4 Pa 2.62

***

# 8
Below is Th4Sb2AsPb after structural relaxation, with properties calculated at the PBE level.

Computed properties:
- Raw total energy: -53.04 eV for the cell shown

Lattice parameters (Å, degrees): 7.7414 4.4503 7.7483 90.00 109.28 90.00
With the nearest neighbours (Å) after each atom.
Positions (direct):
Th (0.2344, 0.0000, 0.2322)  2 As 3.05, 3 Sb 3.15-3.27, 1 Pb 3.18
Th (0.2434, 0.5000, 0.7611)  1 As 3.05, 3 Sb 3.15-3.27, 2 Pb 3.17
Th (0.7566, 0.5000, 0.2389)  1 As 3.05, 3 Sb 3.15-3.27, 2 Pb 3.17
Th (0.7656, 0.0000, 0.7678)  2 As 3.05, 3 Sb 3.15-3.27, 1 Pb 3.18
Sb (0.5000, 0.0000, 0.0000)  6 Th 3.15
Sb (0.5000, 0.5000, 0.5000)  6 Th 3.27
As (0.0000, 0.5000, 0.0000)  6 Th 3.05
Pb (0.0000, 0.0000, 0.5000)  6 Th 3.17-3.18

***

# 9
Below is TbSm2Er2Mg5 after structural relaxation, with properties calculated at the PBE level.

Computed properties:
- ΔE_f: 47 meV/atom

Lattice parameters (Å, degrees): 10.5935 10.5935 5.0717 90.00 90.00 90.00
With the nearest neighbours (Å) after each atom.
Positions (direct):
Tb (0.0000, 0.0000, 0.0000)  8 Mg 3.38
Tb (0.5000, 0.5000, 0.0000)  8 Mg 3.38
Sm (0.1776, 0.3224, 0.0000)  3 Er 3.05-3.20
Sm (0.3224, 0.8224, 0.0000)  3 Er 3.05-3.20
Sm (0.6776, 0.1776, 0.0000)  3 Er 3.05-3.20
Sm (0.8224, 0.6776, 0.0000)  3 Er 3.05-3.20
Er (0.1190, 0.6190, 0.0000)  3 Sm 3.05-3.20, 6 Mg 3.10-3.23
Er (0.3810, 0.1190, 0.0000)  3 Sm 3.05-3.20, 6 Mg 3.10-3.23
Er (0.6190, 0.8810, 0.0000)  3 Sm 3.05-3.20, 6 Mg 3.10-3.23
Er (0.8810, 0.3810, 0.0000)  3 Sm 3.05-3.20, 6 Mg 3.10-3.23
Mg (0.0000, 0.5000, 0.5000)  4 Er 3.10, 4 Mg 3.28
Mg (0.0697, 0.8014, 0.5000)  4 Mg 3.15-3.47, 2 Er 3.23, 2 Tb 3.38
Mg (0.1986, 0.0697, 0.5000)  4 Mg 3.15-3.47, 2 Er 3.23, 2 Tb 3.38
Mg (0.3014, 0.5697, 0.5000)  4 Mg 3.15-3.47, 2 Er 3.23, 2 Tb 3.38
Mg (0.4303, 0.3014, 0.5000)  4 Mg 3.15-3.47, 2 Er 3.23, 2 Tb 3.38
Mg (0.5000, 0.0000, 0.5000)  4 Er 3.10, 4 Mg 3.28
Mg (0.5697, 0.6986, 0.5000)  4 Mg 3.15-3.47, 2 Er 3.23, 2 Tb 3.38
Mg (0.6986, 0.4303, 0.5000)  4 Mg 3.15-3.47, 2 Er 3.23, 2 Tb 3.38
Mg (0.8014, 0.9303, 0.5000)  4 Mg 3.15-3.47, 2 Er 3.23, 2 Tb 3.38
Mg (0.9303, 0.1986, 0.5000)  4 Mg 3.15-3.47, 2 Er 3.23, 2 Tb 3.38

***

# 10
Below is CsKRb2Ga after structural relaxation, with properties calculated at the PBE level.

Computed properties:
- ΔE_f: 112 meV/atom
- Excess energy over the best structure of this formula in the dataset: 0 meV per atom

Lattice parameters (Å, degrees): 7.2062 7.2062 6.9866 90.00 90.00 90.00
With the nearest neighbours (Å) after each atom.
Positions (direct):
Cs (0.0000, 0.0000, 0.0000)  8 Rb 5.02, 4 K 5.10
K (0.5000, 0.5000, 0.0000)  2 Ga 3.49
Rb (0.0000, 0.5000, 0.5000)  2 Ga 3.60
Rb (0.5000, 0.0000, 0.5000)  2 Ga 3.60
Ga (0.5000, 0.5000, 0.5000)  2 K 3.49, 4 Rb 3.60

***

# 11
Below is Ba2CoSi after structural relaxation, with properties calculated at the PBE level.

Computed properties:
- Raw total energy: -14.97 eV for the cell shown

Lattice parameters (Å, degrees): 5.6689 5.6689 3.9112 90.00 90.00 90.00
With the nearest neighbours (Å) after each atom.
Positions (direct):
Ba (0.0000, 0.5000, 0.0000)  4 Co 3.44, 4 Si 3.44
Ba (0.5000, 0.0000, 0.0000)  4 Co 3.44, 4 Si 3.44
Co (0.0000, 0.0000, 0.5000)  8 Ba 3.44
Si (0.5000, 0.5000, 0.5000)  8 Ba 3.44

***

# 12
Below is LiTcBr2 after structural relaxation, with properties calculated at the PBE level.

Computed properties:
- Excess energy over the best structure of this formula in the dataset: 0 meV per atom

Lattice parameters (Å, degrees): 8.4096 8.4096 8.4096 25.89 25.89 25.89
With the nearest neighbours (Å) after each atom.
Positions (direct):
Li (0.0000, 0.0000, 0.0000)  6 Br 2.66
Tc (0.5000, 0.5000, 0.5000)  2 Br 2.53
Br (0.3962, 0.3962, 0.3962)  1 Tc 2.53, 3 Li 2.66
Br (0.6038, 0.6038, 0.6038)  1 Tc 2.53, 3 Li 2.66

***

# 13
Below is PmPr15Er4 after structural relaxation, with properties calculated at the PBE level.

Computed properties:
- ΔE_f: 10 meV/atom

Lattice parameters (Å, degrees): 5.1961 5.1961 25.8693 90.00 90.00 90.00
With the nearest neighbours (Å) after each atom.
Positions (direct):
Pm (0.0000, 0.0000, 0.0000)  12 Pr 3.67-3.69
Pr (0.0000, 0.5000, 0.1015)  2 Er 3.66, 8 Pr 3.67-3.69, 2 Pm 3.69
Pr (0.0000, 0.5000, 0.3007)  8 Pr 3.65-3.67, 4 Er 3.66
Pr (0.0000, 0.5000, 0.5000)  4 Er 3.66, 8 Pr 3.66-3.67
Pr (0.0000, 0.5000, 0.6993)  8 Pr 3.65-3.67, 4 Er 3.66
Pr (0.0000, 0.5000, 0.8985)  2 Er 3.66, 8 Pr 3.67-3.69, 2 Pm 3.69
Pr (0.5000, 0.0000, 0.1015)  2 Er 3.66, 8 Pr 3.67-3.69, 2 Pm 3.69
Pr (0.5000, 0.0000, 0.3007)  8 Pr 3.65-3.67, 4 Er 3.66
Pr (0.5000, 0.0000, 0.5000)  4 Er 3.66, 8 Pr 3.66-3.67
Pr (0.5000, 0.0000, 0.6993)  8 Pr 3.65-3.67, 4 Er 3.66
Pr (0.5000, 0.0000, 0.8985)  2 Er 3.66, 8 Pr 3.67-3.69, 2 Pm 3.69
Pr (0.5000, 0.5000, 0.0000)  4 Pm 3.67, 8 Pr 3.69
Pr (0.5000, 0.5000, 0.2015)  8 Pr 3.65-3.67, 4 Er 3.67
Pr (0.5000, 0.5000, 0.4003)  8 Pr 3.66, 4 Er 3.67
Pr (0.5000, 0.5000, 0.5997)  8 Pr 3.66, 4 Er 3.67
Pr (0.5000, 0.5000, 0.7985)  8 Pr 3.65-3.67, 4 Er 3.67
Er (0.0000, 0.0000, 0.2012)  12 Pr 3.66-3.67
Er (0.0000, 0.0000, 0.4003)  12 Pr 3.66-3.67
Er (0.0000, 0.0000, 0.5997)  12 Pr 3.66-3.67
Er (0.0000, 0.0000, 0.7988)  12 Pr 3.66-3.67

***

# 14
Below is YGeO2F after structural relaxation, with properties calculated at the PBE level.

Computed properties:
- Raw total energy: -31.38 eV for the cell shown

Lattice parameters (Å, degrees): 4.0995 4.0995 4.1093 90.00 90.00 90.00
With the nearest neighbours (Å) after each atom.
Positions (direct):
Y (0.0000, 0.0000, 0.0000)  4 F 2.90, 8 O 2.90
Ge (0.5000, 0.5000, 0.5000)  4 O 2.05, 2 F 2.05
O (0.0000, 0.5000, 0.5000)  2 Ge 2.05
O (0.5000, 0.0000, 0.5000)  2 Ge 2.05
F (0.5000, 0.5000, 0.0000)  2 Ge 2.05

***

# 15
Below is Pm12SmAl3 after structural relaxation, with properties calculated at the PBE level.

Computed properties:
- ΔE_f: -113 meV/atom

Lattice parameters (Å, degrees): 4.9061 4.9061 20.0642 90.00 90.00 90.00
With the nearest neighbours (Å) after each atom.
Positions (direct):
Pm (0.0000, 0.0000, 0.0000)  8 Pm 3.45, 4 Al 3.47
Pm (0.0000, 0.0000, 0.2415)  8 Pm 3.44-3.47, 4 Al 3.47
Pm (0.0000, 0.0000, 0.5000)  4 Sm 3.47, 8 Pm 3.67
Pm (0.0000, 0.0000, 0.7585)  8 Pm 3.44-3.47, 4 Al 3.47
Pm (0.0000, 0.5000, 0.1212)  8 Pm 3.44-3.47, 4 Al 3.45
Pm (0.0000, 0.5000, 0.3640)  2 Al 3.47, 8 Pm 3.47-3.67, 2 Sm 3.67
Pm (0.0000, 0.5000, 0.6360)  2 Al 3.47, 8 Pm 3.47-3.67, 2 Sm 3.67
Pm (0.0000, 0.5000, 0.8788)  8 Pm 3.44-3.47, 4 Al 3.45
Pm (0.5000, 0.0000, 0.1212)  8 Pm 3.44-3.47, 4 Al 3.45
Pm (0.5000, 0.0000, 0.3640)  2 Al 3.47, 8 Pm 3.47-3.67, 2 Sm 3.67
Pm (0.5000, 0.0000, 0.6360)  2 Al 3.47, 8 Pm 3.47-3.67, 2 Sm 3.67
Pm (0.5000, 0.0000, 0.8788)  8 Pm 3.44-3.47, 4 Al 3.45
Sm (0.5000, 0.5000, 0.5000)  12 Pm 3.47-3.67
Al (0.5000, 0.5000, 0.0000)  12 Pm 3.45-3.47
Al (0.5000, 0.5000, 0.2420)  12 Pm 3.45-3.47
Al (0.5000, 0.5000, 0.7580)  12 Pm 3.45-3.47

***

# 16
Below is CsAlPb after structural relaxation, with properties calculated at the PBE level.

Computed properties:
- ΔE_f: -31 meV/atom

Lattice parameters (Å, degrees): 4.6791 6.8016 8.1031 92.45 106.65 110.12
With the nearest neighbours (Å) after each atom.
Positions (direct):
Cs (0.2229, 0.2914, 0.1512)  4 Al 3.86-3.95, 3 Pb 3.86-3.88, 1 Cs 4.08
Cs (0.7771, 0.7086, 0.8488)  4 Al 3.86-3.95, 3 Pb 3.86-3.88, 1 Cs 4.08
Al (0.0706, 0.6922, 0.4517)  1 Al 2.68, 3 Pb 2.89-2.93
Al (0.9294, 0.3078, 0.5483)  1 Al 2.68, 3 Pb 2.89-2.93
Pb (0.3911, 0.1099, 0.6711)  3 Al 2.89-2.93
Pb (0.6089, 0.8901, 0.3289)  3 Al 2.89-2.93

***

What did we get for D(E_F)? Answer: 3.10, 1.84, 5.90, 8.21, 10.10, 1.91, 3.83, 4.97, 6.91, 3.96, 5.77, 1.48, 27.43, 2.71, 22.59, 1.02 states/eV/f.u., in the order shown.